The following is a DFT calculation (PBE) of a relaxed structure of Th3In2Pb.

The calculation puts the formation enthalpy at 0 K at -289 meV/atom. For the energy, the calculation gives -66.36 eV per cell. The density of states at the Fermi level comes out at 0.899 states/eV per atom.

The space group is Cmmm (No. 65) and the conventional cell measures 4.9825, 15.1089 and 4.6415 Å, with angles of 90.00, 90.00 and 90.00 degrees. Symmetry generates all atoms from Th at (0.0000, 0.0000, 0.0000), Th at (0.0000, 0.3326, 0.0000), In at (0.0000, 0.1702, 0.5000) and Pb at (0.0000, 0.5000, 0.5000).